1.
The following is a PBE calculation of a relaxed SmThTcNi crystal, from Alexandria.

```
data_SmThTcNi
_chemical_formula_sum 'Sm4 Th4 Tc4 Ni4'
_cell_length_a 7.0074
_cell_length_b 7.0074
_cell_length_c 7.0074
_cell_angle_alpha 90.00
_cell_angle_beta 90.00
_cell_angle_gamma 90.00
_symmetry_space_group_name_H-M 'F -4 3 m'
_symmetry_Int_Tables_number 216
_symmetry_space_group_name_Hall 'F -4 2 3'
loop_
_atom_site_label
_atom_site_fract_x
_atom_site_fract_y
_atom_site_fract_z
Sm1 0.0000 0.0000 0.0000
Th1 0.0000 0.0000 0.5000
Tc1 0.2500 0.2500 0.2500
Ni1 0.2500 0.2500 0.7500
```

Properties
formation enthalpy at 0 K	-0.123	eV per atom
total DFT energy (no corrections)	-28.78	eV/f.u.

***

2.
The following is a PBE calculation of a relaxed ZnTe3 crystal, from Alexandria.

```
data_ZnTe3
_chemical_formula_sum 'Zn2 Te6'
_cell_length_a 4.1332
_cell_length_b 8.0360
_cell_length_c 7.1754
_cell_angle_alpha 90.00
_cell_angle_beta 90.00
_cell_angle_gamma 90.00
_symmetry_space_group_name_H-M 'I m m 2'
_symmetry_Int_Tables_number 44
loop_
_symmetry_equiv_pos_as_xyz
'x,y,z'
'-x,-y,z'
'-x,y,z'
'x,-y,z'
'x+1/2,y+1/2,z+1/2'
'-x+1/2,-y+1/2,z+1/2'
'-x+1/2,y+1/2,z+1/2'
'x+1/2,-y+1/2,z+1/2'
loop_
_atom_site_label
_atom_site_fract_x
_atom_site_fract_y
_atom_site_fract_z
Zn1 0.0000 0.0000 0.0000
Te1 0.0000 0.2643 0.2883
Te2 0.0000 0.5000 0.9885
```

Properties
total DFT energy (no corrections)	-10.33	eV/f.u.

***

3.
The following is a PBE calculation of a relaxed Ce2CdCu3Ge4 crystal, from Alexandria.

```
data_Ce2CdCu3Ge4
_chemical_formula_sum 'Ce2 Cd1 Cu3 Ge4'
_cell_length_a 4.2790
_cell_length_b 4.2790
_cell_length_c 10.3291
_cell_angle_alpha 90.00
_cell_angle_beta 90.00
_cell_angle_gamma 90.00
_symmetry_space_group_name_H-M 'P -4 m 2'
_symmetry_Int_Tables_number 115
loop_
_symmetry_equiv_pos_as_xyz
'x,y,z'
'y,-x,-z'
'-x,-y,z'
'-y,x,-z'
'-x,y,z'
'-y,-x,-z'
'x,-y,z'
'y,x,-z'
loop_
_atom_site_label
_atom_site_fract_x
_atom_site_fract_y
_atom_site_fract_z
Ce1 0.0000 0.5000 0.2377
Cd1 0.0000 0.0000 0.5000
Cu1 0.0000 0.5000 0.8810
Cu2 0.5000 0.5000 0.5000
Ge1 0.0000 0.0000 0.0000
Ge2 0.0000 0.5000 0.6521
Ge3 0.5000 0.5000 0.0000
```

Properties
formation enthalpy at 0 K	-0.421	eV per atom
total DFT energy (no corrections)	-47.75	eV/f.u.

***

4.
The following is a PBE calculation of a relaxed KHg2SbRh crystal, from Alexandria.

```
data_KHg2SbRh
_chemical_formula_sum 'K1 Hg2 Sb1 Rh1'
_cell_length_a 5.3716
_cell_length_b 5.3716
_cell_length_c 5.0832
_cell_angle_alpha 90.00
_cell_angle_beta 90.00
_cell_angle_gamma 90.00
_symmetry_space_group_name_H-M 'P 4/m m m'
_symmetry_Int_Tables_number 123
_symmetry_space_group_name_Hall '-P 4 2'
loop_
_atom_site_label
_atom_site_fract_x
_atom_site_fract_y
_atom_site_fract_z
K1 0.0000 0.0000 0.0000
Hg1 0.0000 0.5000 0.5000
Sb1 0.5000 0.5000 0.0000
Rh1 0.5000 0.5000 0.5000
```

Properties
total DFT energy (no corrections)	-14.02	eV/f.u.

***

5.
The following is a PBE calculation of a relaxed GaSbAu crystal, from Alexandria.

```
data_GaSbAu
_chemical_formula_sum 'Ga4 Sb4 Au4'
_cell_length_a 12.6694
_cell_length_b 3.8019
_cell_length_c 6.1946
_cell_angle_alpha 90.00
_cell_angle_beta 117.52
_cell_angle_gamma 90.00
_symmetry_space_group_name_H-M 'C 1 2/m 1'
_symmetry_Int_Tables_number 12
loop_
_symmetry_equiv_pos_as_xyz
'x,y,z'
'-x,-y,-z'
'-x,y,-z'
'x,-y,z'
'x+1/2,y+1/2,z'
'-x+1/2,-y+1/2,-z'
'-x+1/2,y+1/2,-z'
'x+1/2,-y+1/2,z'
loop_
_atom_site_label
_atom_site_fract_x
_atom_site_fract_y
_atom_site_fract_z
Ga1 0.0842 0.0000 0.2485
Sb1 0.1041 0.5000 0.7826
Au1 0.2447 0.5000 0.2900
```

Properties
total DFT energy (no corrections)	-10.65	eV/f.u.
offset from the most stable computed form	7	meV per atom

***

6.
The following is a PBE calculation of a relaxed MnZn2Os crystal, from Alexandria.

```
data_MnZn2Os
_chemical_formula_sum 'Mn2 Zn4 Os2'
_cell_length_a 2.8610
_cell_length_b 4.5485
_cell_length_c 8.7539
_cell_angle_alpha 90.00
_cell_angle_beta 90.00
_cell_angle_gamma 90.00
_symmetry_space_group_name_H-M 'C m m 2'
_symmetry_Int_Tables_number 35
loop_
_symmetry_equiv_pos_as_xyz
'x,y,z'
'-x,-y,z'
'-x,y,z'
'x,-y,z'
'x+1/2,y+1/2,z'
'-x+1/2,-y+1/2,z'
'-x+1/2,y+1/2,z'
'x+1/2,-y+1/2,z'
loop_
_atom_site_label
_atom_site_fract_x
_atom_site_fract_y
_atom_site_fract_z
Mn1 0.0000 0.0000 0.0000
Zn1 0.0000 0.0000 0.5063
Zn2 0.0000 0.5000 0.2452
Os1 0.0000 0.5000 0.7657
```

Properties
formation enthalpy at 0 K	0.185	eV per atom
total DFT energy (no corrections)	-22.21	eV/f.u.
offset from the most stable computed form	152	meV per atom

***

7.
The following is a PBE calculation of a relaxed SrRe2Ir crystal, from Alexandria.

```
data_SrRe2Ir
_chemical_formula_sum 'Sr1 Re2 Ir1'
_cell_length_a 2.8562
_cell_length_b 3.6859
_cell_length_c 7.4835
_cell_angle_alpha 90.00
_cell_angle_beta 92.48
_cell_angle_gamma 90.00
_symmetry_space_group_name_H-M 'P 1 m 1'
_symmetry_Int_Tables_number 6
loop_
_symmetry_equiv_pos_as_xyz
'x,y,z'
'x,-y,z'
loop_
_atom_site_label
_atom_site_fract_x
_atom_site_fract_y
_atom_site_fract_z
Sr1 0.0000 0.0000 0.0000
Re1 0.0926 0.0000 0.4914
Re2 0.4852 0.5000 0.6639
Ir1 0.5284 0.5000 0.3007
```

Properties
formation enthalpy at 0 K	0.444	eV per atom
total DFT energy (no corrections)	-33.66	eV/f.u.
offset from the most stable computed form	0	meV per atom

***

- What is the formula in the second record?
  ZnTe3

***

- Among the records above, which one has the highest total DFT energy (no corrections)?
  ZnTe3